DFT (PBE with a Hubbard U) results for a relaxed BaCoBi2F crystal.

Cell and atoms, written as POSCAR:
```
BaCoBi2F
1.0
4.8306 0.0000 0.0000
0.0000 4.8306 0.0000
0.0000 0.0000 6.4706
Ba Co Bi F
1 1 2 1
Direct
0.0000 0.0000 0.0000 Ba
0.5000 0.5000 0.5000 Co
0.0000 0.5000 0.5000 Bi
0.5000 0.0000 0.5000 Bi
0.5000 0.5000 0.0000 F
```

## Properties
For the total magnetization, the calculation gives 0.00 μB per cell. The value obtained for the volume is 151.0 Å³/cell. As for the symmetry: P4/mmm (123). As for the total energy: -3.747 eV/atom.